No. 1
12
Lattice="-7.1601 -11.1437 -1.9249 -1.8345 -11.2431 7.0273 -7.4709 0.7004 4.4522" Properties=species:S:1:pos:R:3 comment="GGA-PBE Cs4RbHg, relaxed" polymorph_energy_ev_per_atom=0.000 magnetic_moment_mub_per_fu=0.000 ef_ev_per_atom=-0.0860 pbc="T T T"
Rb -7.7891 -3.8100 4.5915
Rb -8.6763 -17.8763 4.9631
Cs -5.8750 -11.1677 0.2354
Cs -6.7310 -8.2589 6.9583
Cs -4.2565 -7.0440 2.4540
Cs -9.7345 -13.4274 2.5963
Cs -7.0582 -13.4774 7.0950
Cs -12.2090 -14.6423 7.1006
Cs -3.1196 -11.2191 4.8670
Cs -9.4073 -8.2090 2.4596
Hg -6.9233 -10.9265 3.9974
Hg -9.5422 -10.7599 5.5572



No. 2
4
Lattice="6.1839 -0.0090 -0.0129 4.9359 3.7253 -0.0129 2.1049 0.7035 4.6472" Properties=species:S:1:pos:R:3 comment="GGA-PBE CaTl2Au, relaxed" magnetic_moment_mub_per_fu=0.000 ef_ev_per_atom=-0.3121 pbc="T T T"
Ca 9.9186 3.3148 3.4661
Tl 10.8360 3.6214 0.1206
Tl 6.8963 2.3047 2.1645
Au 3.3062 1.1049 1.1554